(1)
A plane-wave DFT calculation with GGA-PBE was carried out for crystalline DyHoRh at its relaxed geometry.

Properties
Uncorrected energy, eV/cell: -18.23
Energy relative to the lowest polymorph listed for this composition, eV/atom: 0.089
Symmetry: I4mm (107)
Energy of formation, eV/atom: -0.5674
Magnetization, μB/cell: 0.0
Fermi-level density of states, states/eV/atom: 1.143

a b c (Å): 6.7422 6.7422 6.7422
angles (deg): 150.42 150.42 42.33
With the nearest neighbours (Å) after each atom.
Sites, in units of the cell vectors:
Dy  0.0000  0.0000  0.0000  4 Rh 2.95, 1 Ho 3.29
Ho  0.7382  0.7382  0.0000  4 Rh 2.93
Rh  0.3680  0.3680  0.0000  4 Ho 2.93, 4 Dy 2.95



(2)
A plane-wave DFT calculation with GGA-PBE was carried out for crystalline DyHo2Rh at its relaxed geometry.

Properties
Uncorrected energy, eV/cell: -22.48
Energy relative to the lowest polymorph listed for this composition, eV/atom: 0.195
Symmetry: R3m (160)
Energy of formation, eV/atom: -0.3429
Magnetization, μB/cell: 0.4
Fermi-level density of states, states/eV/atom: 1.206

a b c (Å): 9.3226 9.3226 9.3226
angles (deg): 23.56 23.56 23.56
With the nearest neighbours (Å) after each atom.
Sites, in units of the cell vectors:
Dy  0.0000  0.0000  0.0000  6 Ho 3.60-3.67, 6 Dy 3.81
Ho  0.2283  0.2283  0.2283  3 Rh 2.73
Ho  0.4416  0.4416  0.4416  3 Rh 2.74
Rh  0.8351  0.8351  0.8351  6 Ho 2.73-2.74



(3)
A plane-wave DFT calculation with GGA-PBE was carried out for crystalline DyHoRh at its relaxed geometry.

Properties
Uncorrected energy, eV/cell: -111.00
Energy relative to the lowest polymorph listed for this composition, eV/atom: 0.000
Symmetry: Pmma (51)
Energy of formation, eV/atom: -0.6560
Magnetization, μB/cell: 0.0
Fermi-level density of states, states/eV/atom: 0.956

a b c (Å): 14.4160 3.7943 8.0689
angles (deg): 90.00 90.00 90.00
With the nearest neighbours (Å) after each atom.
Sites, in units of the cell vectors:
Dy  0.0419  0.0000  0.1894  4 Rh 2.96, 1 Dy 3.29
Dy  0.2500  0.0000  0.8460  5 Rh 2.94-3.11
Dy  0.4581  0.0000  0.1894  4 Rh 2.96, 1 Dy 3.29
Dy  0.5419  0.0000  0.8106  4 Rh 2.96, 1 Dy 3.29
Dy  0.7500  0.0000  0.1540  5 Rh 2.94-3.11
Dy  0.9581  0.0000  0.8106  4 Rh 2.96, 1 Dy 3.29
Ho  0.1173  0.5000  0.5604  3 Rh 2.81-2.98
Ho  0.2500  0.5000  0.1992  4 Rh 2.84-3.07
Ho  0.3827  0.5000  0.5604  3 Rh 2.81-2.98
Ho  0.6173  0.5000  0.4396  3 Rh 2.81-2.98
Ho  0.7500  0.5000  0.8008  4 Rh 2.84-3.07
Ho  0.8827  0.5000  0.4396  3 Rh 2.81-2.98
Rh  0.1008  0.5000  0.9283  6 Dy 2.94-2.96, 2 Ho 2.98-3.07, 1 Rh 3.13
Rh  0.2500  0.0000  0.4608  6 Ho 2.81-2.84, 1 Dy 3.11
Rh  0.3992  0.5000  0.9283  6 Dy 2.94-2.96, 2 Ho 2.98-3.07, 1 Rh 3.13
Rh  0.6008  0.5000  0.0717  6 Dy 2.94-2.96, 2 Ho 2.98-3.07, 1 Rh 3.13
Rh  0.7500  0.0000  0.5392  6 Ho 2.81-2.84, 1 Dy 3.11
Rh  0.8992  0.5000  0.0717  6 Dy 2.94-2.96, 2 Ho 2.98-3.07, 1 Rh 3.13



(4)
A plane-wave DFT calculation with GGA-PBE was carried out for crystalline Dy2HoRh at its relaxed geometry.

Properties
Uncorrected energy, eV/cell: -21.69
Energy relative to the lowest polymorph listed for this composition, eV/atom: 0.393
Symmetry: R-3m (166)
Energy of formation, eV/atom: -0.1388
Magnetization, μB/cell: 0.5
Fermi-level density of states, states/eV/atom: 1.312

a b c (Å): 10.6970 10.6970 10.6970
angles (deg): 19.39 19.39 19.39
With the nearest neighbours (Å) after each atom.
Sites, in units of the cell vectors:
Dy  0.1098  0.1098  0.1098  3 Rh 2.74
Dy  0.8902  0.8902  0.8902  3 Rh 2.74
Ho  0.0000  0.0000  0.0000  2 Dy 3.46, 6 Ho 3.60
Rh  0.5000  0.5000  0.5000  6 Dy 2.74



(5)
A plane-wave DFT calculation with GGA-PBE was carried out for crystalline DyHo3Rh at its relaxed geometry.

Properties
Uncorrected energy, eV/cell: -54.38
Energy relative to the lowest polymorph listed for this composition, eV/atom: 0.096
Symmetry: Pmn2_1 (31)
Energy of formation, eV/atom: -0.3007
Magnetization, μB/cell: 0.0
Fermi-level density of states, states/eV/atom: 1.173

a b c (Å): 7.5230 6.4788 6.1100
angles (deg): 90.00 90.00 90.00
With the nearest neighbours (Å) after each atom.
Sites, in units of the cell vectors:
Dy  0.0000  0.1498  0.0000  1 Rh 2.76
Dy  0.5000  0.8502  0.5000  1 Rh 2.76
Ho  0.0000  0.8483  0.4858  1 Rh 2.75
Ho  0.2494  0.3129  0.4934  2 Rh 2.71
Ho  0.2506  0.6871  0.9934  2 Rh 2.71
Ho  0.5000  0.1517  0.9858  1 Rh 2.75
Ho  0.7494  0.6871  0.9934  2 Rh 2.71
Ho  0.7506  0.3129  0.4934  2 Rh 2.71
Rh  0.0000  0.5009  0.7437  5 Ho 2.71-2.75, 1 Dy 2.76
Rh  0.5000  0.4991  0.2437  5 Ho 2.71-2.75, 1 Dy 2.76



(6)
A plane-wave DFT calculation with GGA-PBE was carried out for crystalline DyHo4Rh at its relaxed geometry.

Properties
Uncorrected energy, eV/cell: -62.57
Symmetry: Cmcm (63)
Energy of formation, eV/atom: -0.1702
Magnetization, μB/cell: 0.0
Fermi-level density of states, states/eV/atom: 1.294

a b c (Å): 9.5664 9.5664 7.4207
angles (deg): 90.00 90.00 146.45
With the nearest neighbours (Å) after each atom.
Sites, in units of the cell vectors:
Dy  0.1208  0.8792  0.7500  12 Ho 3.64-4.00
Dy  0.8792  0.1208  0.2500  12 Ho 3.64-4.00
Ho  0.1173  0.8827  0.2500  2 Rh 2.78
Ho  0.2965  0.7035  0.0050  1 Rh 2.66
Ho  0.2965  0.7035  0.4950  1 Rh 2.66
Ho  0.5000  0.5000  0.0000  2 Rh 2.63
Ho  0.5000  0.5000  0.5000  2 Rh 2.63
Ho  0.7035  0.2965  0.5050  1 Rh 2.66
Ho  0.7035  0.2965  0.9950  1 Rh 2.66
Ho  0.8827  0.1173  0.7500  2 Rh 2.78
Rh  0.3983  0.6017  0.7500  6 Ho 2.63-2.78
Rh  0.6017  0.3983  0.2500  6 Ho 2.63-2.78